## CaTl2TeAu (GGA-PBE)

Data for CaTl2TeAu after structural relaxation.

SG = P4/mmm, No. 123

Structure (POSCAR):
```
CaTl2TeAu
1.0
-3.9616 -4.5502 0.8407
0.5271 -1.3878 -5.0272
4.5865 -3.7148 1.5064
Tl Te Au Ca
2 1 1 1
direct
0.0000 0.0000 0.5000
0.5000 0.0000 0.0000
0.5000 0.5000 0.5000
0.0000 0.5000 0.0000
0.0000 0.0000 0.0000
```

***

## FeRu2Pt (GGA-PBE)

Data for FeRu2Pt after structural relaxation.

Energy relative to the elements = 0.55 eV per formula unit
SG = P2/m, No. 10

Structure (POSCAR):
```
FeRu2Pt
1.0
4.0313 0.0000 0.0000
0.0000 2.7023 0.0149
0.0000 1.8291 5.1847
Fe Pt Ru
1 1 2
direct
0.5000 0.2500 0.2500
0.5000 0.7500 0.7500
0.0000 0.0979 0.0111
0.0000 0.4021 0.4889
```

***

## ThAsIr3 (GGA-PBE)

Data for ThAsIr3 after structural relaxation.

Energy relative to the elements = -3.35 eV per formula unit
SG = I4mm, No. 107

Structure (POSCAR):
```
ThAsIr3
1.0
-3.3341 2.2443 -0.8850
-1.4358 -3.0606 -2.3471
-4.9571 -2.5211 2.7112
Th As Ir
1 1 3
direct
0.3907 0.1942 0.9239
0.0223 0.8258 0.6608
0.6452 0.9486 0.4149
0.1451 0.4487 0.4150
0.8044 0.6079 0.0966
```

***

Let's list DFT total energy in order: -2.350; -8.126; -8.401 eV/atom.
Let's list magnetic moment in order: 0.00; 3.14; 0.00 μB/f.u..